Record 1
6
Lattice="0.000 3.779 3.779 3.779 0.000 3.779 3.779 3.779 0.000" Properties=species:S:1:pos:R:3 comment="MgZn4Pb PBEsol optimized geometry" dos_ef_per_ev_atom=0.40 energy_ry_per_atom=-0.146 crystal_system=cubic m_tot_mub_per_cell=0.00 delta_e_f_mev_per_atom=21.7 pbc="T T T"
Mg 0.000 0.000 0.000
Zn 4.732 2.825 2.825
Zn 2.825 4.732 2.825
Zn 2.825 2.825 4.732
Zn 4.732 4.732 4.732
Pb 1.889 1.889 1.889

Record 2
4
Lattice="3.567 0.000 0.000 0.000 4.391 0.000 0.000 0.000 4.933" Properties=species:S:1:pos:R:3 comment="AlTcSb2 PBEsol optimized geometry" dos_ef_per_ev_atom=0.72 energy_ry_per_atom=-0.413 crystal_system=orthorhombic m_tot_mub_per_cell=0.00 e_form_raw_ev_per_atom=0.4940 pbc="T T T"
Al 0.000 0.000 0.000
Tc 1.783 0.000 2.467
Sb 0.000 2.195 2.467
Sb 1.783 2.195 0.000

Record 3
12
Lattice="2.732 0.000 0.000 -1.366 2.366 0.000 0.000 0.000 24.971" Properties=species:S:1:pos:R:3 comment="InCo2Ru PBEsol optimized geometry" dos_ef_per_ev_atom=1.35 energy_ry_per_atom=-0.497 crystal_system=trigonal m_tot_mub_per_cell=6.39 delta_e_f_mev_per_atom=397.7 pbc="T T T"
In 0.000 0.000 0.000
In 0.000 1.578 16.648
In 1.366 0.789 8.324
Co 0.000 0.000 6.120
Co 0.000 0.000 18.851
Co 0.000 1.578 10.528
Co 0.000 1.578 22.768
Co 1.366 0.789 2.204
Co 1.366 0.789 14.444
Ru 0.000 0.000 12.486
Ru 0.000 1.578 4.162
Ru 1.366 0.789 20.810

Record 4
5
Lattice="5.060 0.000 0.000 0.000 5.060 0.000 0.000 0.000 5.480" Properties=species:S:1:pos:R:3 comment="BaLaMgOs2 PBEsol optimized geometry" dos_ef_per_ev_atom=1.12 energy_ry_per_atom=-0.326 crystal_system=tetragonal m_tot_mub_per_cell=0.00 delta_e_f_mev_per_atom=2290.8 pbc="T T T"
Ba 0.000 0.000 0.000
La 0.000 0.000 2.740
Mg 2.530 2.530 2.740
Os 0.000 2.530 0.000
Os 2.530 0.000 0.000

Record 5
5
Lattice="4.759 0.000 0.000 0.000 4.759 0.000 0.000 0.000 3.970" Properties=species:S:1:pos:R:3 comment="AsPtSe2F PBEsol optimized geometry" dos_ef_per_ev_atom=1.28 energy_ry_per_atom=-0.273 crystal_system=tetragonal m_tot_mub_per_cell=0.00 e_form_raw_ev_per_atom=0.6288 pbc="T T T"
As 0.000 0.000 0.000
Pt 2.379 2.379 0.000
Se 0.000 2.379 1.985
Se 2.379 0.000 1.985
F 0.000 0.000 1.985

Record 6
22
Lattice="7.382 0.000 0.000 -3.690 6.397 0.000 -1.167 -2.108 13.771" Properties=species:S:1:pos:R:3 comment="Y7Cu3Te12 PBEsol optimized geometry" dos_ef_per_ev_atom=0.01 energy_ry_per_atom=-0.427 crystal_system=triclinic m_tot_mub_per_cell=0.00 e_form_raw_ev_per_atom=-1.1297 pbc="T T T"
Y 0.000 0.000 0.000
Y -2.455 4.311 3.479
Y -1.203 2.215 7.007
Y -1.204 2.212 13.766
Y 2.468 0.015 7.008
Y 3.688 2.238 0.000
Y 2.483 4.394 7.005
Cu 0.007 0.066 9.347
Cu 0.010 4.358 9.347
Cu 1.295 2.208 11.561
Te -1.224 2.155 1.796
Te 0.021 0.107 5.209
Te -2.489 4.263 8.861
Te 0.019 0.033 11.991
Te 2.467 0.085 1.798
Te 0.044 4.325 5.209
Te 1.337 2.211 8.836
Te 0.026 4.390 11.991
Te 2.409 4.320 1.822
Te 3.684 2.196 5.251
Te 4.894 0.155 8.838
Te 3.798 2.208 11.955